<P>
Compound: TiMn2HgAs
Source: the Alexandria database
Functional: PBE-GGA
Structure: optimized geometry Values from VASP.

```
&SYSTEM
  ibrav = 0, nat = 5, ntyp = 4
/
ATOMIC_SPECIES
Mn 54.94 Mn.upf
Ti 47.87 Ti.upf
As 74.92 As.upf
Hg 200.59 Hg.upf
CELL_PARAMETERS angstrom
-2.196 -0.444 -3.976
-3.516 -2.971 2.273
-2.497 3.696 0.966
ATOMIC_POSITIONS crystal
Mn 0.000 0.000 0.500
Mn 0.500 0.000 0.000
Ti 0.500 0.500 0.500
As 0.000 0.000 0.000
Hg 0.000 0.500 0.000
```

Space-group type: P4/mmm



<Q>
Compound: TiMn2HgAs
Source: the Alexandria database
Functional: PBE-GGA
Structure: optimized geometry Values from VASP.

```
&SYSTEM
  ibrav = 0, nat = 5, ntyp = 4
/
ATOMIC_SPECIES
Ti 47.87 Ti.upf
Hg 200.59 Hg.upf
Mn 54.94 Mn.upf
As 74.92 As.upf
CELL_PARAMETERS angstrom
-2.101 0.842 -4.396
4.154 -1.886 -2.346
-2.001 -4.520 0.091
ATOMIC_POSITIONS crystal
Ti 0.500 0.500 0.500
Hg 0.000 0.000 0.000
Mn 0.000 0.000 0.500
Mn 0.500 0.000 0.000
As 0.000 0.500 0.000
```

Space-group type: P4/mmm



Of them, the most stable is <P> and the least stable is <Q>.



<P>
Compound: HgMo2As
Source: the Alexandria database
Functional: PBE-GGA
Structure: optimized geometry Values from VASP.

```
&SYSTEM
  ibrav = 0, nat = 4, ntyp = 3
/
ATOMIC_SPECIES
Hg 200.59 Hg.upf
As 74.92 As.upf
Mo 95.94 Mo.upf
CELL_PARAMETERS angstrom
-2.109 1.472 -3.889
-4.296 0.673 -1.684
-1.036 5.232 0.867
ATOMIC_POSITIONS crystal
Hg 0.750 0.750 0.750
As 0.250 0.250 0.250
Mo 0.517 0.517 0.434
Mo 0.983 0.983 0.066
```

Space-group type: C2/m



<Q>
Compound: HgMo2As
Source: the Alexandria database
Functional: PBE-GGA
Structure: optimized geometry Values from VASP.

```
&SYSTEM
  ibrav = 0, nat = 4, ntyp = 3
/
ATOMIC_SPECIES
Mo 95.94 Mo.upf
As 74.92 As.upf
Hg 200.59 Hg.upf
CELL_PARAMETERS angstrom
5.131 0.010 0.000
2.009 4.721 0.000
-3.570 -2.366 2.826
ATOMIC_POSITIONS crystal
Mo 0.250 0.750 0.500
Mo 0.000 0.000 0.000
As 0.500 0.500 0.000
Hg 0.750 0.250 0.500
```

Space-group type: I-4m2



<R>
Compound: HgMo2As
Source: the Alexandria database
Functional: PBE-GGA
Structure: optimized geometry Values from VASP.

```
&SYSTEM
  ibrav = 0, nat = 4, ntyp = 3
/
ATOMIC_SPECIES
Hg 200.59 Hg.upf
As 74.92 As.upf
Mo 95.94 Mo.upf
CELL_PARAMETERS angstrom
3.939 0.000 0.000
0.000 3.176 -0.046
0.000 1.722 5.736
ATOMIC_POSITIONS crystal
Hg 0.500 0.750 0.750
As 0.500 0.250 0.250
Mo 0.000 0.009 0.055
Mo 0.000 0.491 0.445
```

Space-group type: P2/m



<S>
Compound: HgMo2As
Source: the Alexandria database
Functional: PBE-GGA
Structure: optimized geometry Values from VASP.

```
&SYSTEM
  ibrav = 0, nat = 4, ntyp = 3
/
ATOMIC_SPECIES
Mo 95.94 Mo.upf
Hg 200.59 Hg.upf
As 74.92 As.upf
CELL_PARAMETERS angstrom
-1.663 -4.209 -0.884
3.501 -1.876 2.343
-1.701 0.118 2.636
ATOMIC_POSITIONS crystal
Mo 0.500 0.500 0.000
Mo 0.000 0.000 0.000
Hg 0.000 0.500 0.500
As 0.500 0.000 0.500
```

Space-group type: P4/mmm



Of them, the most stable is <R> and the least stable is <Q>.



<P>
Compound: HgMo2As
Source: the Alexandria database
Functional: PBE-GGA
Structure: optimized geometry Values from VASP.

```
&SYSTEM
  ibrav = 0, nat = 4, ntyp = 3
/
ATOMIC_SPECIES
Mo 95.94 Mo.upf
As 74.92 As.upf
Hg 200.59 Hg.upf
CELL_PARAMETERS angstrom
4.853 0.003 -0.011
3.796 3.024 -0.011
0.893 0.312 5.019
ATOMIC_POSITIONS crystal
Mo 0.266 0.266 0.233
Mo 0.983 0.983 0.061
As 0.512 0.512 0.446
Hg 0.739 0.739 0.760
```

Space-group type: Cm



<Q>
Compound: HgMo2As
Source: the Alexandria database
Functional: PBE-GGA
Structure: optimized geometry Values from VASP.

```
&SYSTEM
  ibrav = 0, nat = 4, ntyp = 3
/
ATOMIC_SPECIES
Mo 95.94 Mo.upf
Hg 200.59 Hg.upf
As 74.92 As.upf
CELL_PARAMETERS angstrom
9.270 0.006 0.004
8.756 3.046 0.004
8.756 1.482 2.661
ATOMIC_POSITIONS crystal
Mo 0.988 0.988 0.988
Mo 0.253 0.253 0.253
Hg 0.746 0.746 0.746
As 0.513 0.513 0.513
```

Space-group type: R3m



<R>
Compound: HgMo2As
Source: the Alexandria database
Functional: PBE-GGA
Structure: optimized geometry Values from VASP.

```
&SYSTEM
  ibrav = 0, nat = 4, ntyp = 3
/
ATOMIC_SPECIES
Hg 200.59 Hg.upf
Mo 95.94 Mo.upf
As 74.92 As.upf
CELL_PARAMETERS angstrom
-2.007 -3.851 1.371
-3.126 0.115 3.309
-4.382 -0.758 -0.980
ATOMIC_POSITIONS crystal
Hg 0.500 0.500 0.500
Mo 0.750 0.750 0.750
Mo 0.250 0.250 0.250
As 0.000 0.000 0.000
```

Space-group type: Fm-3m



<S>
Compound: HgMo2As
Source: the Alexandria database
Functional: PBE-GGA
Structure: optimized geometry Values from VASP.

```
&SYSTEM
  ibrav = 0, nat = 4, ntyp = 3
/
ATOMIC_SPECIES
Hg 200.59 Hg.upf
As 74.92 As.upf
Mo 95.94 Mo.upf
CELL_PARAMETERS angstrom
-3.057 0.911 0.752
1.017 -0.352 4.560
1.307 4.350 0.045
ATOMIC_POSITIONS crystal
Hg 0.000 0.500 0.500
As 0.500 0.000 0.500
Mo 0.500 0.500 0.000
Mo 0.000 0.000 0.000
```

Space-group type: Pmmm



Of them, the most stable is <Q> and the least stable is <S>.



<P>
Compound: HgMo2As
Source: the Alexandria database
Functional: PBE-GGA
Structure: optimized geometry Values from VASP.

```
&SYSTEM
  ibrav = 0, nat = 4, ntyp = 3
/
ATOMIC_SPECIES
Mo 95.94 Mo.upf
As 74.92 As.upf
Hg 200.59 Hg.upf
CELL_PARAMETERS angstrom
-0.827 -1.743 -2.555
2.415 -2.017 0.594
-4.325 -3.969 4.108
ATOMIC_POSITIONS crystal
Mo 0.000 0.000 0.043
Mo 0.500 0.500 0.247
As 0.000 0.000 0.441
Hg 0.500 0.500 0.769
```

Space-group type: P4mm



<Q>
Compound: HgMo2As
Source: the Alexandria database
Functional: PBE-GGA
Structure: optimized geometry Values from VASP.

```
&SYSTEM
  ibrav = 0, nat = 4, ntyp = 3
/
ATOMIC_SPECIES
As 74.92 As.upf
Hg 200.59 Hg.upf
Mo 95.94 Mo.upf
CELL_PARAMETERS angstrom
5.303 -0.003 -0.005
2.159 4.844 0.005
-3.145 -3.323 2.681
ATOMIC_POSITIONS crystal
As 0.750 0.250 0.500
Hg 0.250 0.750 0.500
Mo 0.969 0.969 0.000
Mo 0.531 0.531 0.000
```

Space-group type: Immm



<R>
Compound: HgMo2As
Source: the Alexandria database
Functional: PBE-GGA
Structure: optimized geometry Values from VASP.

```
&SYSTEM
  ibrav = 0, nat = 4, ntyp = 3
/
ATOMIC_SPECIES
As 74.92 As.upf
Mo 95.94 Mo.upf
Hg 200.59 Hg.upf
CELL_PARAMETERS angstrom
2.827 0.023 0.000
-0.897 2.681 0.000
0.000 0.000 10.219
ATOMIC_POSITIONS crystal
As 0.000 0.000 0.439
Mo 0.000 0.000 0.034
Mo 0.500 0.500 0.237
Hg 0.500 0.500 0.789
```

Space-group type: Cmm2



<S>
Compound: HgMo2As
Source: the Alexandria database
Functional: PBE-GGA
Structure: optimized geometry Values from VASP.

```
&SYSTEM
  ibrav = 0, nat = 4, ntyp = 3
/
ATOMIC_SPECIES
Mo 95.94 Mo.upf
As 74.92 As.upf
Hg 200.59 Hg.upf
CELL_PARAMETERS angstrom
-3.983 -1.083 3.740
-1.252 -5.246 1.389
3.907 3.961 -0.266
ATOMIC_POSITIONS crystal
Mo 0.980 0.980 0.000
Mo 0.731 0.231 0.500
As 0.526 0.526 0.000
Hg 0.263 0.763 0.500
```

Space-group type: Imm2



Of them, the most stable is <P> and the least stable is <S>.



<P>
Compound: HgMo2As
Source: the Alexandria database
Functional: PBE-GGA
Structure: optimized geometry Values from VASP.

```
&SYSTEM
  ibrav = 0, nat = 4, ntyp = 3
/
ATOMIC_SPECIES
Hg 200.59 Hg.upf
Mo 95.94 Mo.upf
As 74.92 As.upf
CELL_PARAMETERS angstrom
-3.063 -0.461 -0.266
0.495 -3.039 -0.432
-0.442 -1.054 6.918
ATOMIC_POSITIONS crystal
Hg 0.500 0.500 0.750
Mo 0.000 0.000 0.048
Mo 0.000 0.000 0.452
As 0.500 0.500 0.250
```

Space-group type: P4/mmm



<Q>
Compound: HgMo2As
Source: the Alexandria database
Functional: PBE-GGA
Structure: optimized geometry Values from VASP.

```
&SYSTEM
  ibrav = 0, nat = 4, ntyp = 3
/
ATOMIC_SPECIES
Mo 95.94 Mo.upf
As 74.92 As.upf
Hg 200.59 Hg.upf
CELL_PARAMETERS angstrom
-4.563 -0.290 0.224
0.238 -2.629 1.452
0.183 1.195 5.275
ATOMIC_POSITIONS crystal
Mo 0.500 0.434 0.263
Mo 0.000 0.039 0.045
As 0.000 0.337 0.449
Hg 0.500 0.691 0.743
```

Space-group type: Pm



Of them, the most stable is <P> and the least stable is <Q>.



<P>
Compound: HgMoAs
Source: the Alexandria database
Functional: PBE-GGA
Structure: optimized geometry Values from VASP.

```
&SYSTEM
  ibrav = 0, nat = 3, ntyp = 3
/
ATOMIC_SPECIES
Mo 95.94 Mo.upf
Hg 200.59 Hg.upf
As 74.92 As.upf
CELL_PARAMETERS angstrom
-0.701 1.682 -4.100
3.115 -0.496 -3.191
-0.750 -2.758 -3.458
ATOMIC_POSITIONS crystal
Mo 0.750 0.750 0.750
Hg 0.500 0.500 0.500
As 0.000 0.000 0.000
```

Space-group type: F-43m



<Q>
Compound: HgMoAs
Source: the Alexandria database
Functional: PBE-GGA
Structure: optimized geometry Values from VASP.

```
&SYSTEM
  ibrav = 0, nat = 3, ntyp = 3
/
ATOMIC_SPECIES
Mo 95.94 Mo.upf
Hg 200.59 Hg.upf
As 74.92 As.upf
CELL_PARAMETERS angstrom
-2.162 -1.586 -3.483
2.215 -1.930 -3.270
-0.312 -4.343 -0.602
ATOMIC_POSITIONS crystal
Mo 0.500 0.500 0.500
Hg 0.000 0.000 0.000
As 0.750 0.750 0.750
```

Space-group type: F-43m



Of them, the most stable is <P> and the least stable is <Q>.



<P>
Compound: HgMoAs
Source: the Alexandria database
Functional: PBE-GGA
Structure: optimized geometry Values from VASP.

```
&SYSTEM
  ibrav = 0, nat = 3, ntyp = 3
/
ATOMIC_SPECIES
As 74.92 As.upf
Mo 95.94 Mo.upf
Hg 200.59 Hg.upf
CELL_PARAMETERS angstrom
3.149 0.000 0.000
-1.575 2.727 0.000
0.000 0.000 6.856
ATOMIC_POSITIONS crystal
As 0.000 0.000 0.951
Mo 0.333 0.667 0.697
Hg 0.667 0.333 0.351
```

Space-group type: P3m1



<Q>
Compound: HgMoAs
Source: the Alexandria database
Functional: PBE-GGA
Structure: optimized geometry Values from VASP.

```
&SYSTEM
  ibrav = 0, nat = 3, ntyp = 3
/
ATOMIC_SPECIES
Mo 95.94 Mo.upf
Hg 200.59 Hg.upf
As 74.92 As.upf
CELL_PARAMETERS angstrom
4.260 0.000 0.000
-2.130 3.689 0.000
0.000 0.000 3.699
ATOMIC_POSITIONS crystal
Mo 0.333 0.667 0.833
Hg 0.667 0.333 0.333
As 0.000 0.000 0.833
```

Space-group type: P-6m2



Of them, the most stable is <P> and the least stable is <Q>.



<P>
Compound: HgMo3As
Source: the Alexandria database
Functional: PBE-GGA
Structure: optimized geometry Values from VASP.

```
&SYSTEM
  ibrav = 0, nat = 5, ntyp = 3
/
ATOMIC_SPECIES
As 74.92 As.upf
Hg 200.59 Hg.upf
Mo 95.94 Mo.upf
CELL_PARAMETERS angstrom
5.119 0.000 0.000
0.000 5.119 0.000
0.000 0.000 5.119
ATOMIC_POSITIONS crystal
As 0.500 0.500 0.500
Hg 0.000 0.000 0.000
Mo 0.000 0.000 0.500
Mo 0.000 0.500 0.000
Mo 0.500 0.000 0.000
```

Space-group type: Pm-3m



<Q>
Compound: HgMo3As
Source: the Alexandria database
Functional: PBE-GGA
Structure: optimized geometry Values from VASP.

```
&SYSTEM
  ibrav = 0, nat = 5, ntyp = 3
/
ATOMIC_SPECIES
Mo 95.94 Mo.upf
Hg 200.59 Hg.upf
As 74.92 As.upf
CELL_PARAMETERS angstrom
4.636 0.000 0.000
0.000 4.636 0.000
0.000 0.000 4.636
ATOMIC_POSITIONS crystal
Mo 0.000 0.000 0.500
Mo 0.500 0.000 0.000
Mo 0.000 0.500 0.000
Hg 0.500 0.500 0.500
As 0.000 0.000 0.000
```

Space-group type: Pm-3m



Of them, the most stable is <Q> and the least stable is <P>.



<P>
Compound: Hg2AsN
Source: the Alexandria database
Functional: PBE-GGA
Structure: optimized geometry Values from VASP.

```
&SYSTEM
  ibrav = 0, nat = 8, ntyp = 3
/
ATOMIC_SPECIES
Hg 200.59 Hg.upf
N 14.01 N.upf
As 74.92 As.upf
CELL_PARAMETERS angstrom
-0.867 5.750 -0.438
-4.622 -0.429 3.529
0.404 3.457 5.767
ATOMIC_POSITIONS crystal
Hg 0.557 0.125 0.250
Hg 0.875 0.807 0.750
Hg 0.375 0.443 0.750
Hg 0.193 0.625 0.250
N 0.250 0.750 0.500
N 0.500 0.500 0.000
As 0.000 0.000 0.000
As 0.750 0.250 0.500
```

Space-group type: I-42d



<Q>
Compound: Hg2AsN
Source: the Alexandria database
Functional: PBE-GGA
Structure: optimized geometry Values from VASP.

```
&SYSTEM
  ibrav = 0, nat = 4, ntyp = 3
/
ATOMIC_SPECIES
N 14.01 N.upf
As 74.92 As.upf
Hg 200.59 Hg.upf
CELL_PARAMETERS angstrom
-0.932 2.741 3.816
-3.489 -1.234 3.041
1.094 -1.560 4.394
ATOMIC_POSITIONS crystal
N 0.000 0.000 0.000
As 0.500 0.500 0.500
Hg 0.750 0.750 0.750
Hg 0.250 0.250 0.250
```

Space-group type: Fm-3m



Of them, the most stable is <P> and the least stable is <Q>.



<P>
Compound: Hg3AsN
Source: the Alexandria database
Functional: PBE-GGA
Structure: optimized geometry Values from VASP.

```
&SYSTEM
  ibrav = 0, nat = 5, ntyp = 3
/
ATOMIC_SPECIES
Hg 200.59 Hg.upf
N 14.01 N.upf
As 74.92 As.upf
CELL_PARAMETERS angstrom
4.721 0.000 0.000
0.000 4.721 0.000
0.000 0.000 4.721
ATOMIC_POSITIONS crystal
Hg 0.000 0.500 0.000
Hg 0.500 0.000 0.000
Hg 0.000 0.000 0.500
N 0.000 0.000 0.000
As 0.500 0.500 0.500
```

Space-group type: Pm-3m



<Q>
Compound: Hg3AsN
Source: the Alexandria database
Functional: PBE-GGA
Structure: optimized geometry Values from VASP.

```
&SYSTEM
  ibrav = 0, nat = 5, ntyp = 3
/
ATOMIC_SPECIES
Hg 200.59 Hg.upf
As 74.92 As.upf
N 14.01 N.upf
CELL_PARAMETERS angstrom
5.500 0.000 0.000
0.000 5.500 0.000
0.000 0.000 5.500
ATOMIC_POSITIONS crystal
Hg 0.500 0.000 0.000
Hg 0.000 0.500 0.000
Hg 0.000 0.000 0.500
As 0.000 0.000 0.000
N 0.500 0.500 0.500
```

Space-group type: Pm-3m



Of them, the most stable is <P> and the least stable is <Q>.



<P>
Compound: HgAs3N
Source: the Alexandria database
Functional: PBE-GGA
Structure: optimized geometry Values from VASP.

```
&SYSTEM
  ibrav = 0, nat = 5, ntyp = 3
/
ATOMIC_SPECIES
As 74.92 As.upf
Hg 200.59 Hg.upf
N 14.01 N.upf
CELL_PARAMETERS angstrom
5.162 0.000 0.000
0.000 5.162 0.000
0.000 0.000 5.162
ATOMIC_POSITIONS crystal
As 0.000 0.000 0.500
As 0.500 0.000 0.000
As 0.000 0.500 0.000
Hg 0.000 0.000 0.000
N 0.500 0.500 0.500
```

Space-group type: Pm-3m



<Q>
Compound: HgAs3N
Source: the Alexandria database
Functional: PBE-GGA
Structure: optimized geometry Values from VASP.

```
&SYSTEM
  ibrav = 0, nat = 5, ntyp = 3
/
ATOMIC_SPECIES
As 74.92 As.upf
Hg 200.59 Hg.upf
N 14.01 N.upf
CELL_PARAMETERS angstrom
4.466 0.000 0.000
0.000 4.466 0.000
0.000 0.000 4.466
ATOMIC_POSITIONS crystal
As 0.500 0.000 0.000
As 0.000 0.500 0.000
As 0.000 0.000 0.500
Hg 0.500 0.500 0.500
N 0.000 0.000 0.000
```

Space-group type: Pm-3m



Of them, the most stable is <Q> and the least stable is <P>.